# 1
Below is SrAlPb2 after structural relaxation, with properties calculated at the GGA-PBEsol level.

a b c (Å): 4.629 4.859 4.859
angles (deg): 90.00 90.00 90.00
Element x y z (fractional)
Sr: 0.500 0.500 0.500
Pb: 0.000 0.500 0.000
Pb: 0.000 0.000 0.500
Al: 0.500 0.000 0.000

Results
Crystal system: tetragonal
Space group: P4/mmm, No. 123

***

# 2
Below is SrAl3Pb after structural relaxation, with properties calculated at the GGA-PBEsol level.

a b c (Å): 5.609 5.609 5.609
angles (deg): 90.00 90.00 90.00
Element x y z (fractional)
Al: 0.000 0.500 0.000
Al: 0.500 0.000 0.000
Al: 0.000 0.000 0.500
Sr: 0.000 0.000 0.000
Pb: 0.500 0.500 0.500

Results
Crystal system: cubic
Space group: Pm-3m, No. 221

***

# 3
Below is SrAl2Pb2 after structural relaxation, with properties calculated at the GGA-PBEsol level.

a b c (Å): 4.336 4.336 7.911
angles (deg): 105.91 105.91 90.00
Element x y z (fractional)
Pb: 0.380 0.380 0.760
Pb: 0.620 0.620 0.240
Al: 0.250 0.750 0.500
Al: 0.750 0.250 0.500
Sr: 0.000 0.000 0.000

Results
Crystal system: tetragonal
Space group: I4/mmm, No. 139

***

# 4
Below is SrAl2Pb after structural relaxation, with properties calculated at the GGA-PBEsol level.

a b c (Å): 4.287 5.302 5.575
angles (deg): 108.72 90.00 113.85
Element x y z (fractional)
Al: 0.765 0.530 0.849
Al: 0.235 0.470 0.151
Pb: 0.500 0.000 0.000
Sr: 0.000 0.000 0.500

Results
Crystal system: monoclinic
Space group: C2/m, No. 12

***

# 5
Below is SrAl2Pb after structural relaxation, with properties calculated at the GGA-PBEsol level.

a b c (Å): 4.549 4.549 5.800
angles (deg): 113.09 113.09 90.00
Element x y z (fractional)
Pb: 0.500 0.500 0.000
Al: 0.000 0.000 0.000
Al: 0.750 0.250 0.500
Sr: 0.250 0.750 0.500

Results
Crystal system: tetragonal
Space group: I-4m2, No. 119

***

# 6
Below is AlTc2Pb after structural relaxation, with properties calculated at the GGA-PBEsol level.

a b c (Å): 2.974 2.974 9.112
angles (deg): 80.61 80.61 60.00
Element x y z (fractional)
Al: 0.488 0.488 0.536
Tc: 0.010 0.010 0.971
Tc: 0.748 0.748 0.755
Pb: 0.254 0.254 0.238

Results
Crystal system: trigonal
Energy above the lowest structure with this stoichiometry: 0.000 eV per atom
Space group: R3m, No. 160

***

# 7
Below is Al2TcPb after structural relaxation, with properties calculated at the GGA-PBEsol level.

a b c (Å): 3.329 4.799 4.828
angles (deg): 102.34 90.00 110.29
Element x y z (fractional)
Tc: 0.500 0.000 0.000
Al: 0.231 0.462 0.196
Al: 0.769 0.538 0.804
Pb: 0.000 0.000 0.500

Results
Crystal system: monoclinic
Space group: C2/m, No. 12

***

# 8
Below is AlTc2Pb after structural relaxation, with properties calculated at the GGA-PBEsol level.

a b c (Å): 3.190 4.383 5.369
angles (deg): 114.09 107.28 90.00
Element x y z (fractional)
Tc: 0.753 0.253 0.506
Tc: 0.014 0.014 0.029
Al: 0.480 0.480 0.961
Pb: 0.252 0.752 0.504

Results
Crystal system: orthorhombic
Energy above the lowest structure with this stoichiometry: 0.085 eV per atom
Space group: Imm2, No. 44

***

| no. | raw total energy (eV/atom) |
| --- | --- |
| 1 | -3.69 |
| 2 | -2.36 |
| 3 | -3.69 |
| 4 | -3.53 |
| 5 | -3.53 |
| 6 | -7.39 |
| 7 | -5.62 |
| 8 | -7.30 |